No. 1
6
Lattice="0.000 4.229 4.229 4.229 0.000 4.229 4.229 4.229 0.000" Properties=species:S:1:pos:R:3 comment="CePaHg4 | the Alexandria database | GGA-PBE | optimized geometry" e_form_ev_per_atom=0.051 energy_ev_per_cell=-16.333 polymorph_energy_mev_per_atom=192 dos_ef_per_ev_atom=2.541 vol_a3_per_cell=151 pbc="T T T"
Ce 0.000 0.000 0.000
Pa 6.343 6.343 6.343
Hg 3.173 3.173 3.173
Hg 5.285 5.285 3.173
Hg 5.285 3.173 5.285
Hg 3.173 5.285 5.285

---

No. 2
6
Lattice="3.807 0.000 0.000 0.000 3.807 0.000 0.000 0.000 10.341" Properties=species:S:1:pos:R:3 comment="CePaHg | the Alexandria database | GGA-PBE | optimized geometry" e_form_ev_per_atom=0.087 energy_ev_per_cell=-30.939 polymorph_energy_mev_per_atom=26 dos_ef_per_ev_atom=2.601 vol_a3_per_cell=150 pbc="T T T"
Ce 0.000 0.000 0.000
Ce 1.903 1.903 5.171
Pa 0.000 0.000 3.850
Pa 1.903 1.903 9.021
Hg 0.000 0.000 7.097
Hg 1.903 1.903 1.926

---

No. 3
4
Lattice="4.558 0.000 0.000 0.000 4.558 0.000 0.000 0.000 4.733" Properties=species:S:1:pos:R:3 comment="CePaHg2 | the Alexandria database | GGA-PBE | optimized geometry" e_form_ev_per_atom=-0.070 energy_ev_per_cell=-16.313 polymorph_energy_mev_per_atom=0 dos_ef_per_ev_atom=2.111 vol_a3_per_cell=98 pbc="T T T"
Ce 0.000 0.000 0.000
Pa 2.279 2.279 0.000
Hg 0.000 2.279 2.366
Hg 2.279 0.000 2.366

---

No. 4
4
Lattice="3.974 0.000 0.000 0.000 3.974 0.000 0.000 0.000 6.773" Properties=species:S:1:pos:R:3 comment="CePaHg2 | the Alexandria database | GGA-PBE | optimized geometry" e_form_ev_per_atom=0.005 energy_ev_per_cell=-16.015 polymorph_energy_mev_per_atom=74 dos_ef_per_ev_atom=3.238 vol_a3_per_cell=107 pbc="T T T"
Ce 0.000 0.000 0.000
Pa 0.000 0.000 3.387
Hg 1.987 1.987 1.732
Hg 1.987 1.987 5.041

---

No. 5
12
Lattice="5.092 0.000 0.000 0.000 6.542 0.000 0.000 0.000 8.817" Properties=species:S:1:pos:R:3 comment="CePaHg4 | the Alexandria database | GGA-PBE | optimized geometry" e_form_ev_per_atom=-0.141 energy_ev_per_cell=-34.967 polymorph_energy_mev_per_atom=0 dos_ef_per_ev_atom=2.111 vol_a3_per_cell=294 pbc="T T T"
Ce 0.000 0.000 0.000
Ce 2.546 3.271 4.409
Pa 0.000 3.271 0.000
Pa 2.546 0.000 4.409
Hg 0.000 1.612 2.939
Hg 0.000 1.612 5.879
Hg 0.000 4.931 2.939
Hg 0.000 4.931 5.879
Hg 2.546 1.659 1.470
Hg 2.546 1.659 7.347
Hg 2.546 4.883 1.470
Hg 2.546 4.883 7.347

---

No. 6
12
Lattice="3.199 0.000 0.000 -1.599 2.770 0.000 0.000 0.000 33.469" Properties=species:S:1:pos:R:3 comment="CePaHg2 | the Alexandria database | GGA-PBE | optimized geometry" e_form_ev_per_atom=-0.055 energy_ev_per_cell=-48.762 polymorph_energy_mev_per_atom=15 dos_ef_per_ev_atom=1.899 vol_a3_per_cell=297 pbc="T T T"
Ce 0.000 0.000 0.000
Ce 0.000 1.847 22.312
Ce 1.599 0.923 11.156
Pa 0.000 0.000 16.734
Pa 0.000 1.847 5.578
Pa 1.599 0.923 27.891
Hg 0.000 0.000 8.351
Hg 0.000 0.000 25.118
Hg 0.000 1.847 13.961
Hg 0.000 1.847 30.664
Hg 1.599 0.923 2.805
Hg 1.599 0.923 19.507

---

No. 7
12
Lattice="3.819 0.000 0.000 0.000 3.819 0.000 0.000 0.000 22.878" Properties=species:S:1:pos:R:3 comment="CePaHg | the Alexandria database | GGA-PBE | optimized geometry" e_form_ev_per_atom=0.062 energy_ev_per_cell=-62.188 polymorph_energy_mev_per_atom=0 dos_ef_per_ev_atom=2.035 vol_a3_per_cell=334 pbc="T T T"
Ce 0.000 0.000 3.405
Ce 0.000 0.000 19.473
Ce 1.910 1.910 8.034
Ce 1.910 1.910 14.844
Pa 0.000 0.000 6.617
Pa 0.000 0.000 16.261
Pa 1.910 1.910 4.822
Pa 1.910 1.910 18.056
Hg 0.000 0.000 10.032
Hg 0.000 0.000 12.846
Hg 1.910 1.910 1.407
Hg 1.910 1.910 21.471

---

No. 8
3
Lattice="5.216 0.000 0.000 -2.608 4.517 0.000 0.000 0.000 2.994" Properties=species:S:1:pos:R:3 comment="CePaHg | the Alexandria database | GGA-PBE | optimized geometry" e_form_ev_per_atom=0.069 energy_ev_per_cell=-15.525 polymorph_energy_mev_per_atom=7 dos_ef_per_ev_atom=2.483 vol_a3_per_cell=71 pbc="T T T"
Ce 0.000 0.000 0.000
Pa 2.608 1.506 0.000
Hg 0.000 3.012 1.497

---

No. 9
16
Lattice="7.676 0.000 0.000 0.000 7.676 0.000 0.000 0.000 7.676" Properties=species:S:1:pos:R:3 comment="CePaHgPb | the Alexandria database | GGA-PBE | optimized geometry" e_form_ev_per_atom=0.006 energy_ev_per_cell=-77.665 dos_ef_per_ev_atom=3.908 vol_a3_per_cell=452 pbc="T T T"
Ce 0.000 0.000 0.000
Ce 0.000 3.838 3.838
Ce 3.838 0.000 3.838
Ce 3.838 3.838 0.000
Pa 0.000 0.000 3.838
Pa 0.000 3.838 0.000
Pa 3.838 0.000 0.000
Pa 3.838 3.838 3.838
Hg 1.919 1.919 5.757
Hg 1.919 5.757 1.919
Hg 5.757 1.919 1.919
Hg 5.757 5.757 5.757
Pb 1.919 1.919 1.919
Pb 1.919 5.757 5.757
Pb 5.757 1.919 5.757
Pb 5.757 5.757 1.919

---

No. 10
16
Lattice="7.312 0.000 0.000 0.000 7.312 0.000 0.000 0.000 7.312" Properties=species:S:1:pos:R:3 comment="CeScPaHg | the Alexandria database | GGA-PBE | optimized geometry" e_form_ev_per_atom=0.143 energy_ev_per_cell=-85.968 dos_ef_per_ev_atom=2.800 vol_a3_per_cell=391 pbc="T T T"
Ce 0.000 0.000 0.000
Ce 0.000 3.656 3.656
Ce 3.656 0.000 3.656
Ce 3.656 3.656 0.000
Sc 0.000 0.000 3.656
Sc 0.000 3.656 0.000
Sc 3.656 0.000 0.000
Sc 3.656 3.656 3.656
Pa 1.828 1.828 1.828
Pa 1.828 5.484 5.484
Pa 5.484 1.828 5.484
Pa 5.484 5.484 1.828
Hg 1.828 1.828 5.484
Hg 1.828 5.484 1.828
Hg 5.484 1.828 1.828
Hg 5.484 5.484 5.484

---

No. 11
16
Lattice="7.183 0.000 0.000 0.000 7.183 0.000 0.000 0.000 7.183" Properties=species:S:1:pos:R:3 comment="CePaTcHg | the Alexandria database | GGA-PBE | optimized geometry" e_form_ev_per_atom=0.072 energy_ev_per_cell=-103.246 dos_ef_per_ev_atom=1.557 vol_a3_per_cell=371 pbc="T T T"
Ce 0.000 0.000 0.000
Ce 0.000 3.591 3.591
Ce 3.591 0.000 3.591
Ce 3.591 3.591 0.000
Pa 0.000 0.000 3.591
Pa 0.000 3.591 0.000
Pa 3.591 0.000 0.000
Pa 3.591 3.591 3.591
Tc 1.796 1.796 5.387
Tc 1.796 5.387 1.796
Tc 5.387 1.796 1.796
Tc 5.387 5.387 5.387
Hg 1.796 1.796 1.796
Hg 1.796 5.387 5.387
Hg 5.387 1.796 5.387
Hg 5.387 5.387 1.796

---

No. 12
16
Lattice="7.586 0.000 0.000 0.000 7.586 0.000 0.000 0.000 7.586" Properties=species:S:1:pos:R:3 comment="CeThPaHg | the Alexandria database | GGA-PBE | optimized geometry" e_form_ev_per_atom=0.168 energy_ev_per_cell=-89.912 dos_ef_per_ev_atom=2.715 vol_a3_per_cell=437 pbc="T T T"
Ce 0.000 0.000 0.000
Ce 0.000 3.793 3.793
Ce 3.793 0.000 3.793
Ce 3.793 3.793 0.000
Th 0.000 0.000 3.793
Th 0.000 3.793 0.000
Th 3.793 0.000 0.000
Th 3.793 3.793 3.793
Pa 1.896 1.896 5.689
Pa 1.896 5.689 1.896
Pa 5.689 1.896 1.896
Pa 5.689 5.689 5.689
Hg 1.896 1.896 1.896
Hg 1.896 5.689 5.689
Hg 5.689 1.896 5.689
Hg 5.689 5.689 1.896